Entry 1:
# DyTl2SbO8, optimized geometry, DFT PBE
data_DyTl2SbO8
_chemical_formula_sum 'Dy1 Tl2 Sb1 O8'
_symmetry_space_group_name_H-M 'P 1 2/m 1'
_symmetry_Int_Tables_number 10
_cell_length_a 4.905
_cell_length_b 6.942
_cell_length_c 4.956
_cell_angle_alpha 90.00
_cell_angle_beta 93.32
_cell_angle_gamma 90.00
loop_
_symmetry_equiv_pos_as_xyz
'x,y,z'
'-x,-y,-z'
'-x,y,-z'
'x,-y,z'
loop_
_atom_site_label
_atom_site_type_symbol
_atom_site_fract_x
_atom_site_fract_y
_atom_site_fract_z
Dy1 Dy 0.000 0.000 0.000
Tl1 Tl 0.500 0.257 0.500
Sb1 Sb 0.000 0.500 0.000
O1 O 0.200 0.500 0.648
O2 O 0.227 0.000 0.606
O3 O 0.236 0.277 0.128
# - DFT total energy (eV for the cell shown) = -67.76
# - crystal system = monoclinic
# - mass density (g/cm3) = 8.093
# - E_form (uncorrected) (eV per atom) = -1.2199

***

Entry 2:
# TmFeRu, optimized geometry, DFT PBE
data_TmFeRu
_chemical_formula_sum 'Tm4 Fe4 Ru4'
_symmetry_space_group_name_H-M 'I m m a'
_symmetry_Int_Tables_number 74
_symmetry_space_group_name_Hall '-I 2b 2'
_cell_length_a 5.094
_cell_length_b 5.346
_cell_length_c 7.339
_cell_angle_alpha 90.00
_cell_angle_beta 90.00
_cell_angle_gamma 90.00
loop_
_atom_site_label
_atom_site_type_symbol
_atom_site_fract_x
_atom_site_fract_y
_atom_site_fract_z
Tm1 Tm 0.000 0.250 0.125
Fe1 Fe 0.250 0.250 0.750
Ru1 Ru 0.000 0.000 0.500
# - DFT total energy (eV for the cell shown) = -92.27
# - crystal system = orthorhombic
# - mass density (g/cm3) = 10.829
# - energy of formation (eV/atom) = -0.286